No. 1
The following is a DFT calculation (PBE-GGA) of a relaxed AcAl2Pd8 crystal.

space group	P4/mmm
formation energy from the elements	-3.564	eV/f.u.

a = 5.5104 Å, b = 5.5104 Å, c = 7.7660 Å
α = 90.00°, β = 90.00°, γ = 90.00°
Element x y z (fractional)
Ac 0.5000 0.5000 0.5000
Al 0.5000 0.0000 0.0000
Al 0.0000 0.5000 0.0000
Pd 0.7543 0.7543 0.2057
Pd 0.7543 0.2457 0.7943
Pd 0.7543 0.7543 0.7943
Pd 0.7543 0.2457 0.2057
Pd 0.2457 0.7543 0.2057
Pd 0.2457 0.7543 0.7943
Pd 0.2457 0.2457 0.2057
Pd 0.2457 0.2457 0.7943


No. 2
The following is a DFT calculation (PBE-GGA) of a relaxed Re2HS crystal.

space group	I-42d
E above lowest polymorph	0.000	eV/atom

a = 4.5665 Å, b = 4.5665 Å, c = 5.9839 Å
α = 67.57°, β = 67.57°, γ = 90.00°
Element x y z (fractional)
Re 0.5171 0.1250 0.2500
Re 0.2329 0.6250 0.2500
Re 0.3750 0.4829 0.7500
Re 0.8750 0.7671 0.7500
S 0.0000 0.0000 0.0000
S 0.7500 0.2500 0.5000
H 0.5000 0.5000 0.0000
H 0.2500 0.7500 0.5000


No. 3
The following is a DFT calculation (PBE-GGA) of a relaxed FeOs crystal.

space group	P-3m1
formation energy from the elements	0.309	eV/f.u.

a = 2.7013 Å, b = 2.7013 Å, c = 8.3334 Å
α = 90.00°, β = 90.00°, γ = 60.00°
Each line ends with the local moment (μB).
Element x y z (fractional)
Fe 0.0000 0.0000 0.0038  2.16
Fe 0.3333 0.3333 0.2462  2.16
Os 0.0000 0.0000 0.4941  -0.22
Os 0.3333 0.3333 0.7559  -0.22


No. 4
The following is a DFT calculation (PBE-GGA) of a relaxed RbZrC2 crystal.

space group	I-42d
formation energy from the elements	4.593	eV/f.u.
E above lowest polymorph	0.000	eV/atom

a = 6.7721 Å, b = 6.7721 Å, c = 6.5171 Å
α = 58.70°, β = 58.70°, γ = 90.00°
Element x y z (fractional)
C 0.7673 0.1250 0.2500
C 0.9827 0.6250 0.2500
C 0.3750 0.2327 0.7500
C 0.8750 0.0173 0.7500
Rb 0.5000 0.5000 0.0000
Rb 0.2500 0.7500 0.5000
Zr 0.0000 0.0000 0.0000
Zr 0.7500 0.2500 0.5000


No. 5
The following is a DFT calculation (PBE-GGA) of a relaxed ZnMo2As crystal.

space group	Imm2
formation energy from the elements	0.633	eV/f.u.
E above lowest polymorph	0.130	eV/atom

a = 5.0648 Å, b = 5.0648 Å, c = 5.0648 Å
α = 141.41°, β = 129.80°, γ = 65.05°
Element x y z (fractional)
As 0.2426 0.7426 0.5000
Mo 0.0031 0.0031 0.0000
Mo 0.7578 0.2578 0.5000
Zn 0.4965 0.4965 0.0000


No. 6
The following is a DFT calculation (PBE-GGA) of a relaxed Na2SrPbF crystal.

space group	P4/mmm
formation energy without anion corrections	-123	kJ/mol of atoms

a = 5.0244 Å, b = 5.0244 Å, c = 5.0717 Å
α = 90.00°, β = 90.00°, γ = 90.00°
Element x y z (fractional)
Pb 0.5000 0.5000 0.5000
Sr 0.0000 0.0000 0.5000
F 0.0000 0.0000 0.0000
Na 0.0000 0.5000 0.0000
Na 0.5000 0.0000 0.0000


No. 7
The following is a DFT calculation (PBE-GGA) of a relaxed PrY3Zn crystal.

space group	C2/m
formation energy from the elements	-0.261	eV/f.u.
E above lowest polymorph	0.000	eV/atom

a = 3.6798 Å, b = 6.3604 Å, c = 13.7154 Å
α = 105.79°, β = 97.71°, γ = 90.00°
Element x y z (fractional)
Pr 0.7709 0.7654 0.5418
Pr 0.2291 0.2346 0.4582
Y 0.0105 0.2546 0.0210
Y 0.9895 0.7454 0.9790
Y 0.3942 0.9092 0.7883
Y 0.6058 0.0908 0.2117
Y 0.1492 0.6203 0.2984
Y 0.8508 0.3797 0.7016
Zn 0.5641 0.5941 0.1281
Zn 0.4359 0.4059 0.8719


No. 8
The following is a DFT calculation (PBE-GGA) of a relaxed ZrTc4 crystal.

space group	I4/m
formation energy from the elements	0.375	eV/f.u.
E above lowest polymorph	0.000	eV/atom

a = 4.8164 Å, b = 4.8164 Å, c = 4.8164 Å
α = 102.69°, β = 102.69°, γ = 124.11°
Element x y z (fractional)
Zr 0.0000 0.0000 0.0000
Tc 0.7957 0.4561 0.2519
Tc 0.4561 0.2043 0.6604
Tc 0.2043 0.5439 0.7481
Tc 0.5439 0.7957 0.3396


No. 9
The following is a DFT calculation (PBE-GGA) of a relaxed Nd4Ga2N crystal.

space group	C2/m
formation energy without anion corrections	-69	kJ/mol of atoms
E above lowest polymorph	0.000	eV/atom

a = 3.7918 Å, b = 6.5646 Å, c = 7.6417 Å
α = 76.11°, β = 75.63°, γ = 73.21°
Element x y z (fractional)
Nd 0.0840 0.1666 0.6654
Nd 0.9160 0.8334 0.3346
Nd 0.3463 0.2425 0.0649
Nd 0.6537 0.7575 0.9351
Ga 0.3816 0.5770 0.6597
Ga 0.6184 0.4230 0.3403
N 0.0000 0.0000 0.0000


No. 10
The following is a DFT calculation (PBE-GGA) of a relaxed Ce4As3P crystal.

space group	R-3m
formation energy from the elements	-11.516	eV/f.u.

a = 4.1833 Å, b = 4.1833 Å, c = 13.9008 Å
α = 81.35°, β = 81.35°, γ = 60.00°
Each line ends with the local moment (μB).
Element x y z (fractional)
P 0.0000 0.0000 0.0000  -0.03
As 0.7489 0.7489 0.7532  -0.03
As 0.5000 0.5000 0.5000  -0.03
As 0.2511 0.2511 0.2468  -0.03
Ce 0.6271 0.6271 0.1187  0.62
Ce 0.8757 0.8757 0.3729  0.62
Ce 0.3729 0.3729 0.8813  0.62
Ce 0.1243 0.1243 0.6271  0.62


No. 11
The following is a DFT calculation (PBE-GGA) of a relaxed Pm2Nd7Ho2 crystal.

space group	Cmmm
formation energy from the elements	3.594	eV/f.u.
E above lowest polymorph	0.175	eV/atom

a = 9.6139 Å, b = 6.9879 Å, c = 6.9879 Å
α = 122.41°, β = 90.00°, γ = 90.00°
Element x y z (fractional)
Pm 0.5000 0.7505 0.7505
Pm 0.5000 0.2495 0.2495
Nd 0.6842 0.0000 0.5000
Nd 0.3158 0.5000 0.0000
Nd 0.3158 0.0000 0.5000
Nd 0.6842 0.5000 0.0000
Nd 0.0000 0.0000 0.0000
Nd 0.1783 0.5000 0.5000
Nd 0.8217 0.5000 0.5000
Ho 0.0000 0.7321 0.2679
Ho 0.0000 0.2679 0.7321


No. 12
The following is a DFT calculation (PBE-GGA) of a relaxed SmHo7Tm2 crystal.

space group	Cmmm
formation energy from the elements	7.056	eV/f.u.
E above lowest polymorph	0.683	eV/atom

a = 5.5644 Å, b = 9.1086 Å, c = 9.1087 Å
α = 122.90°, β = 90.00°, γ = 90.00°
Element x y z (fractional)
Sm 0.0000 0.0000 0.0000
Ho 0.0000 0.7846 0.2154
Ho 0.0000 0.2154 0.7846
Ho 0.5000 0.0619 0.2920
Ho 0.5000 0.9381 0.7080
Ho 0.5000 0.2920 0.0619
Ho 0.5000 0.7080 0.9381
Ho 0.5000 0.5000 0.5000
Tm 0.5000 0.7034 0.2966
Tm 0.5000 0.2966 0.7034